Entry from Alexandria: a relaxed TaZn4Ni crystal (PBE).

Cell lengths 4.9644, 4.9644, 4.9644 Å; angles 60.00, 60.00, 60.00 degrees
With the nearest neighbours (Å) after each atom.
Atoms (fractional coordinates):
Ta (0.0000, 0.0000, 0.0000)  12 Zn 2.91, 4 Ni 3.04
Zn (0.3747, 0.8759, 0.3747)  6 Zn 2.48-2.49
Zn (0.3747, 0.3747, 0.8759)  6 Zn 2.48-2.49
Zn (0.3747, 0.3747, 0.3747)  6 Zn 2.48-2.49
Zn (0.8759, 0.3747, 0.3747)  6 Zn 2.48-2.49
Ni (0.7500, 0.7500, 0.7500)  12 Zn 2.91, 4 Ta 3.04

**ΔH_f (0 K)**: 182.5 meV per atom
**Total moment**: 1.200 μB/f.u.